No. 1
## Sr3Ag (meta-GGA SCAN)

Data for a PBEsol-optimized structure of Sr3Ag.

V   39.8 Å³ per atom
Energy relative to the elements   -84 meV/atom

Cell lengths 4.033, 6.148, 7.405 Å; angles 114.53, 105.80, 90.00 degrees
Fractional positions:
1 Sr 0.691 0.191 0.382
2 Sr 0.309 0.809 0.618
3 Sr 0.500 0.500 0.000
4 Ag 0.000 0.000 0.000


No. 2
## Sr2Ag (meta-GGA SCAN)

Data for a PBEsol-optimized structure of Sr2Ag.

V   36.0 Å³ per atom
Energy relative to the elements   -197 meV/atom

Cell lengths 6.559, 6.559, 6.559 Å; angles 107.10, 107.10, 114.33 degrees
Fractional positions:
1 Ag 0.750 0.750 0.000
2 Ag 0.250 0.250 0.000
3 Sr 0.820 0.320 0.141
4 Sr 0.680 0.820 0.500
5 Sr 0.320 0.180 0.500
6 Sr 0.180 0.680 0.859


No. 3
## Sr2Ag (meta-GGA SCAN)

Data for a PBEsol-optimized structure of Sr2Ag.

V   39.0 Å³ per atom
Energy relative to the elements   -183 meV/atom

Cell lengths 7.764, 7.764, 7.764 Å; angles 90.00, 90.00, 90.00 degrees
Fractional positions:
1 Sr 0.840 0.160 0.660
2 Sr 0.160 0.660 0.840
3 Sr 0.660 0.660 0.660
4 Sr 0.160 0.840 0.340
5 Sr 0.340 0.340 0.340
6 Sr 0.340 0.160 0.840
7 Sr 0.840 0.340 0.160
8 Sr 0.660 0.840 0.160
9 Ag 0.000 0.000 0.000
10 Ag 0.500 0.500 0.000
11 Ag 0.000 0.500 0.500
12 Ag 0.500 0.000 0.500


No. 4
## SrAg2 (meta-GGA SCAN)

Data for a PBEsol-optimized structure of SrAg2.

V   23.1 Å³ per atom
Energy relative to the elements   -205 meV/atom

Cell lengths 5.808, 5.808, 5.808 Å; angles 60.00, 60.00, 60.00 degrees
Fractional positions:
1 Ag 0.125 0.125 0.625
2 Ag 0.125 0.625 0.125
3 Ag 0.625 0.125 0.125
4 Ag 0.125 0.125 0.125
5 Sr 0.500 0.500 0.500
6 Sr 0.750 0.750 0.750


No. 5
## Sr2Ag (meta-GGA SCAN)

Data for a PBEsol-optimized structure of Sr2Ag.

V   41.5 Å³ per atom
Energy relative to the elements   -188 meV/atom

Cell lengths 4.498, 7.259, 7.618 Å; angles 90.00, 90.00, 90.00 degrees
Fractional positions:
1 Ag 0.500 0.500 0.500
2 Ag 0.000 0.000 0.000
3 Sr 0.000 0.747 0.335
4 Sr 0.000 0.253 0.665
5 Sr 0.500 0.247 0.165
6 Sr 0.500 0.753 0.835


No. 6
## Sr2Ag (meta-GGA SCAN)

Data for a PBEsol-optimized structure of Sr2Ag.

V   35.6 Å³ per atom
Energy relative to the elements   -188 meV/atom

Cell lengths 3.908, 3.908, 7.528 Å; angles 105.04, 105.04, 90.00 degrees
Fractional positions:
1 Sr 0.867 0.867 0.735
2 Sr 0.133 0.133 0.265
3 Ag 0.500 0.500 0.000


No. 7
## Sr2Ag (meta-GGA SCAN)

Data for a PBEsol-optimized structure of Sr2Ag.

V   41.5 Å³ per atom
Energy relative to the elements   -146 meV/atom

Cell lengths 4.458, 4.458, 7.236 Å; angles 90.00, 90.00, 120.00 degrees
Fractional positions:
1 Ag 0.000 0.000 0.000
2 Sr 0.667 0.333 0.752
3 Sr 0.333 0.667 0.248


No. 8
## Sr3Ag (meta-GGA SCAN)

Data for a PBEsol-optimized structure of Sr3Ag.

V   42.6 Å³ per atom
Energy relative to the elements   -76 meV/atom

Cell lengths 4.361, 8.894, 8.894 Å; angles 99.01, 90.00, 90.00 degrees
Fractional positions:
1 Sr 0.250 0.185 0.434
2 Sr 0.750 0.872 0.128
3 Sr 0.250 0.566 0.815
4 Sr 0.750 0.434 0.185
5 Sr 0.750 0.815 0.566
6 Sr 0.250 0.128 0.872
7 Ag 0.250 0.565 0.435
8 Ag 0.750 0.435 0.565